Entry 1:
An optimized crystal structure of Ti3InPb. Source: the Alexandria database, functional PBEsol.

Geometry as extended XYZ:
```
5
Lattice="-0.411 3.876 -3.179 -4.864 0.465 1.196 1.215 3.172 3.710" Properties=species:S:1:pos:R:3 pbc="T T T"
Pb 0.000 0.000 0.000
Ti -2.432 0.233 0.598
Ti 0.608 1.586 1.855
Ti -0.205 1.938 -1.590
In -2.030 3.756 0.863
```

Calculated values
energy of formation	1.04	eV/atom
spin magnetization	1.9	μB/cell
space-group type	Pm-3m



Entry 2:
An optimized crystal structure of TlIn2Pb. Source: the Alexandria database, functional PBEsol.

Geometry as extended XYZ:
```
4
Lattice="-2.865 -0.185 -1.705 -2.059 -3.990 3.892 -0.367 4.670 3.379" Properties=species:S:1:pos:R:3 pbc="T T T"
Pb -2.480 -2.098 1.124
Tl -2.826 1.222 1.347
In -5.282 0.487 5.551
In -2.456 -0.707 4.202
```

Calculated values
energy of formation	0.01	eV/atom
polymorph energy (0 for the lowest one)	0.0046	eV per atom
spin magnetization	0.0	μB/cell
space-group type	Cm



Entry 3:
An optimized crystal structure of Tl2InPb. Source: the Alexandria database, functional PBEsol.

Geometry as extended XYZ:
```
4
Lattice="4.840 0.000 0.000 0.000 4.840 0.000 -2.420 -2.420 4.728" Properties=species:S:1:pos:R:3 pbc="T T T"
Pb 0.000 0.000 0.000
Tl 2.420 0.000 2.364
Tl 0.000 2.420 2.364
In 2.420 2.420 0.000
```

Calculated values
energy of formation	0.01	eV/atom
polymorph energy (0 for the lowest one)	0.0135	eV per atom
spin magnetization	0.0	μB/cell
space-group type	I4/mmm



Entry 4:
An optimized crystal structure of TlInPb2. Source: the Alexandria database, functional PBEsol.

Geometry as extended XYZ:
```
4
Lattice="-2.927 1.589 -0.149 -0.232 -0.947 -5.558 -2.862 -5.182 1.002" Properties=species:S:1:pos:R:3 pbc="T T T"
Pb -5.325 -3.634 0.841
Pb -3.477 -0.520 -2.631
Tl -2.443 -1.860 0.419
In -3.458 -3.915 -2.054
```

Calculated values
energy of formation	0.02	eV/atom
polymorph energy (0 for the lowest one)	0.0215	eV per atom
spin magnetization	0.0	μB/cell
space-group type	Pm



Entry 5:
An optimized crystal structure of TlInPb2. Source: the Alexandria database, functional PBEsol.

Geometry as extended XYZ:
```
4
Lattice="4.783 0.000 0.000 0.000 4.783 0.000 -2.392 -2.392 4.931" Properties=species:S:1:pos:R:3 pbc="T T T"
Pb 0.000 0.000 0.000
Pb 2.392 0.000 2.465
Tl 2.392 2.392 0.000
In 0.000 2.392 2.465
```

Calculated values
energy of formation	0.01	eV/atom
polymorph energy (0 for the lowest one)	0.0094	eV per atom
spin magnetization	0.0	μB/cell
space-group type	I-4m2



Entry 6:
An optimized crystal structure of TlIn2Pb. Source: the Alexandria database, functional PBEsol.

Geometry as extended XYZ:
```
4
Lattice="3.320 -0.045 -0.077 -1.213 6.254 -0.123 -1.213 -3.203 5.373" Properties=species:S:1:pos:R:3 pbc="T T T"
Pb 1.660 -0.022 -0.038
Tl 0.447 1.503 2.587
In -0.607 3.127 -0.062
In -0.607 -1.601 2.687
```

Calculated values
energy of formation	0.03	eV/atom
polymorph energy (0 for the lowest one)	0.0228	eV per atom
spin magnetization	0.0	μB/cell
space-group type	C2/m



Entry 7:
An optimized crystal structure of TlIn2Pb. Source: the Alexandria database, functional PBEsol.

Geometry as extended XYZ:
```
4
Lattice="-0.345 0.167 -5.368 0.201 -4.559 -2.852 -4.419 -1.825 -2.470" Properties=species:S:1:pos:R:3 pbc="T T T"
Pb -2.281 -3.109 -5.345
Tl -1.141 -1.554 -2.672
In 0.000 0.000 0.000
In -3.422 -4.663 -8.017
```

Calculated values
energy of formation	0.02	eV/atom
polymorph energy (0 for the lowest one)	0.0124	eV per atom
spin magnetization	0.0	μB/cell
space-group type	F-43m



Entry 8:
An optimized crystal structure of TlIn2Pb. Source: the Alexandria database, functional PBEsol.

Geometry as extended XYZ:
```
4
Lattice="4.834 0.000 0.000 0.000 4.633 0.000 0.000 0.000 4.844" Properties=species:S:1:pos:R:3 pbc="T T T"
Pb 2.417 2.317 0.000
Tl 0.000 2.317 2.422
In 0.000 0.000 0.000
In 2.417 0.000 2.422
```

Calculated values
energy of formation	0.02	eV/atom
polymorph energy (0 for the lowest one)	0.0085	eV per atom
spin magnetization	0.0	μB/cell
space-group type	Pmmm



Entry 9:
An optimized crystal structure of TlIn2Pb. Source: the Alexandria database, functional PBEsol.

Geometry as extended XYZ:
```
4
Lattice="3.314 0.000 0.087 0.000 5.415 0.000 -0.935 0.000 6.077" Properties=species:S:1:pos:R:3 pbc="T T T"
Pb 1.657 2.707 0.043
Tl -0.467 2.707 3.039
In 1.752 0.000 4.619
In 0.628 0.000 1.545
```

Calculated values
energy of formation	0.03	eV/atom
polymorph energy (0 for the lowest one)	0.0189	eV per atom
spin magnetization	0.0	μB/cell
space-group type	P2/m



Entry 10:
An optimized crystal structure of TlInPb2. Source: the Alexandria database, functional PBEsol.

Geometry as extended XYZ:
```
4
Lattice="4.781 0.000 0.000 0.000 4.781 0.000 -2.390 -2.390 4.947" Properties=species:S:1:pos:R:3 pbc="T T T"
Pb 2.390 0.000 2.473
Pb 0.000 2.390 2.473
Tl 2.390 2.390 0.000
In 0.000 0.000 0.000
```

Calculated values
energy of formation	0.01	eV/atom
polymorph energy (0 for the lowest one)	0.0113	eV per atom
spin magnetization	0.0	μB/cell
space-group type	I4/mmm



Entry 11:
An optimized crystal structure of TlIn2Pb. Source: the Alexandria database, functional PBEsol.

Geometry as extended XYZ:
```
4
Lattice="-0.167 3.395 0.043 -2.662 1.553 1.435 4.283 1.785 10.043" Properties=species:S:1:pos:R:3 pbc="T T T"
Pb 0.766 3.368 5.831
Tl 0.317 1.682 2.796
In 4.248 1.784 9.978
In 1.134 5.051 8.719
```

Calculated values
energy of formation	0.01	eV/atom
polymorph energy (0 for the lowest one)	0.0000	eV per atom
spin magnetization	0.0	μB/cell
space-group type	R3m



Entry 12:
An optimized crystal structure of Tl2InPb. Source: the Alexandria database, functional PBEsol.

Geometry as extended XYZ:
```
4
Lattice="3.353 0.000 0.000 0.000 4.726 0.000 0.000 0.000 7.036" Properties=species:S:1:pos:R:3 pbc="T T T"
Pb 1.676 2.363 5.208
Tl 0.000 0.000 0.024
Tl 1.676 2.363 1.797
In 0.000 0.000 3.524
```

Calculated values
energy of formation	0.00	eV/atom
polymorph energy (0 for the lowest one)	0.0055	eV per atom
spin magnetization	0.0	μB/cell
space-group type	Pmm2



Entry 13:
An optimized crystal structure of TlInPb2. Source: the Alexandria database, functional PBEsol.

Geometry as extended XYZ:
```
4
Lattice="-1.756 1.795 -2.407 2.739 -3.002 -4.249 -3.635 -4.173 2.019" Properties=species:S:1:pos:R:3 pbc="T T T"
Pb -2.657 -5.351 -4.608
Pb -2.433 -1.498 -1.876
Tl 0.484 -0.616 -3.339
In -0.205 -3.896 -2.779
```

Calculated values
energy of formation	0.01	eV/atom
polymorph energy (0 for the lowest one)	0.0072	eV per atom
spin magnetization	0.0	μB/cell
space-group type	P1



Entry 14:
An optimized crystal structure of Tl2InPb. Source: the Alexandria database, functional PBEsol.

Geometry as extended XYZ:
```
4
Lattice="3.702 0.000 0.000 0.000 5.458 0.000 0.000 0.000 5.542" Properties=species:S:1:pos:R:3 pbc="T T T"
Pb 0.000 2.729 2.771
Tl 0.000 0.000 0.000
Tl 1.851 2.729 0.000
In 1.851 0.000 2.771
```

Calculated values
energy of formation	0.02	eV/atom
polymorph energy (0 for the lowest one)	0.0237	eV per atom
spin magnetization	0.0	μB/cell
space-group type	Pmmm



Entry 15:
An optimized crystal structure of TlInPb2. Source: the Alexandria database, functional PBEsol.

Geometry as extended XYZ:
```
4
Lattice="5.424 0.000 0.000 2.712 4.697 0.000 2.712 1.566 4.429" Properties=species:S:1:pos:R:3 pbc="T T T"
Pb 0.000 0.000 0.000
Pb 8.136 4.697 3.321
Tl 2.712 1.566 1.107
In 5.424 3.132 2.214
```

Calculated values
energy of formation	0.02	eV/atom
polymorph energy (0 for the lowest one)	0.0192	eV per atom
spin magnetization	0.0	μB/cell
space-group type	F-43m



Entry 16:
An optimized crystal structure of TlInPb2. Source: the Alexandria database, functional PBEsol.

Geometry as extended XYZ:
```
4
Lattice="3.447 0.000 0.000 1.723 2.985 0.000 1.723 0.995 11.138" Properties=species:S:1:pos:R:3 pbc="T T T"
Pb 5.170 2.985 0.056
Pb 5.170 2.985 8.350
Tl 3.447 1.990 5.506
In 1.723 0.995 2.796
```

Calculated values
energy of formation	0.01	eV/atom
polymorph energy (0 for the lowest one)	0.0056	eV per atom
spin magnetization	0.0	μB/cell
space-group type	R3m



Entry 17:
An optimized crystal structure of TlIn2Pb. Source: the Alexandria database, functional PBEsol.

Geometry as extended XYZ:
```
4
Lattice="3.324 0.000 0.000 0.000 4.787 0.000 0.000 0.000 6.822" Properties=species:S:1:pos:R:3 pbc="T T T"
Pb 0.000 0.000 3.355
Tl 1.662 2.394 5.184
In 0.000 0.000 0.035
In 1.662 2.394 1.659
```

Calculated values
energy of formation	0.01	eV/atom
polymorph energy (0 for the lowest one)	0.0011	eV per atom
spin magnetization	0.0	μB/cell
space-group type	Pmm2



Entry 18:
An optimized crystal structure of TlIn2Pb. Source: the Alexandria database, functional PBEsol.

Geometry as extended XYZ:
```
4
Lattice="3.329 -0.046 0.000 -1.179 3.113 0.000 0.000 0.000 10.620" Properties=species:S:1:pos:R:3 pbc="T T T"
Pb 1.075 1.534 5.310
Tl 1.075 1.534 0.000
In 0.000 0.000 2.630
In 0.000 0.000 7.989
```

Calculated values
energy of formation	0.03	eV/atom
polymorph energy (0 for the lowest one)	0.0191	eV per atom
spin magnetization	0.0	μB/cell
space-group type	Cmmm



Entry 19:
An optimized crystal structure of Tl2InPb. Source: the Alexandria database, functional PBEsol.

Geometry as extended XYZ:
```
4
Lattice="3.444 0.000 0.000 0.000 5.828 -0.113 -1.722 -1.067 5.565" Properties=species:S:1:pos:R:3 pbc="T T T"
Pb 1.722 0.968 2.785
Tl 1.722 4.724 5.451
Tl 0.000 3.847 2.664
In 1.722 2.897 -0.054
```

Calculated values
energy of formation	0.01	eV/atom
polymorph energy (0 for the lowest one)	0.0092	eV per atom
spin magnetization	0.0	μB/cell
space-group type	Cm



Entry 20:
An optimized crystal structure of TlIn2Pb. Source: the Alexandria database, functional PBEsol.

Geometry as extended XYZ:
```
4
Lattice="3.814 0.000 0.000 0.000 3.814 0.000 0.000 0.000 7.517" Properties=species:S:1:pos:R:3 pbc="T T T"
Pb 0.000 0.000 3.646
Tl 1.907 1.907 5.753
In 0.000 0.000 0.096
In 1.907 1.907 1.780
```

Calculated values
energy of formation	0.02	eV/atom
polymorph energy (0 for the lowest one)	0.0081	eV per atom
spin magnetization	0.0	μB/cell
space-group type	P4mm